Entry 1:
Here is PrCu4Si2 after structural relaxation from Alexandria. Energies are from PBE.

size of the total moment = 0.00 μB per cell
raw formation energy = -232.2 kJ/mol of formula units
V = 111.2 Å³/cell

The structure in POSCAR format:
```
PrCu4Si2
1.0
4.0795 0.0000 0.0000
2.0397 3.5329 0.0000
2.0397 1.1776 7.7133
Pr Cu Si
1 4 2
Cartesian
0.0000 0.0000 0.0000
4.0795 2.3553 5.3725
2.0397 1.1776 4.4620
4.0795 2.3553 2.3409
6.1192 3.5329 3.2514
2.0397 1.1776 2.0352
6.1192 3.5329 5.6782
```

=====

Entry 2:
Here is PrCu12Si4 after structural relaxation from Alexandria. Energies are from PBE.

size of the total moment = 0.00 μB per cell
raw formation energy = 424.9 kJ/mol of formula units
V = 271.0 Å³/cell

The structure in POSCAR format:
```
PrCu12Si4
1.0
-2.0363 6.1509 -2.8076
-3.4549 -5.2873 -3.1577
-1.4570 -0.0308 6.9093
Pr Cu Si
1 12 4
Cartesian
0.0000 0.0000 0.0000
-3.2183 3.2997 -2.1323
-2.7207 -0.5387 -1.5134
-3.1299 4.0937 1.7051
-2.6187 1.1185 4.2052
-3.8184 -3.2608 -0.7610
-4.2275 1.3716 2.4574
-2.1064 2.3006 0.5033
-4.8419 -1.4677 0.4408
-4.3296 -0.2856 -3.2611
-4.6574 1.7416 -1.0331
-2.2908 -0.9087 1.9772
-3.7300 -2.4668 3.0764
-1.7275 -2.6436 -1.5789
-1.0181 3.0755 -1.4038
-3.4741 0.4164 0.4720
-0.7285 -0.0154 3.4547
```

=====

Entry 3:
Here is Pr2Cu3Si2 after structural relaxation from Alexandria. Energies are from PBE.

size of the total moment = 0.00 μB per cell
raw formation energy = -274.9 kJ/mol of formula units
V = 130.2 Å³/cell

The structure in POSCAR format:
```
Pr2Cu3Si2
1.0
3.9861 0.0000 0.0000
-1.9931 5.4114 -0.4088
0.0000 -2.9619 6.2584
Pr Cu Si
2 3 2
Cartesian
1.9931 3.1913 1.2128
0.0000 -0.7419 4.6368
1.9931 0.0000 0.0000
1.9931 0.3092 2.5384
0.0000 2.1403 3.3111
1.9931 1.6004 4.6603
0.0000 0.8490 1.1892
```

=====

Entry 4:
Here is PrCuSi2 after structural relaxation from Alexandria. Energies are from PBE.

size of the total moment = 0.00 μB per cell
raw formation energy = -109.8 kJ/mol of formula units
V = 85.2 Å³/cell

The structure in POSCAR format:
```
PrCuSi2
1.0
-3.7789 1.3571 -0.9051
-1.0066 0.1840 4.4785
1.6826 4.2164 -0.7030
Pr Cu Si
1 1 2
Cartesian
-0.9760 0.2298 4.4196
-1.2815 3.2835 0.9151
-1.9466 2.9453 3.1848
-2.2098 1.2326 1.7153
```

=====

- Which of these has the highest V?
  PrCu12Si4

=====

- raw formation energy of number 4 (PrCuSi2)?
  -109.8 kJ/mol of formula units

=====

- Which value of V does entry 3 give?
  130.2 Å³/cell

=====

- Number 3 is which compound?
  Pr2Cu3Si2